The following is a DFT calculation (GGA-PBE) of an optimized crystal structure of GdTm2N.

Calculated values
SG ... P4/mmm, No. 123
DOS(E_F) ... 1.21 states/eV per atom
DFT total energy ... -32.24 eV per cell
Energy relative to the lowest polymorph listed for this composition ... 503 meV/atom

abc: 3.130 3.130 8.731
angles: 90.00 90.00 90.00
Fractional positions:
1 Gd 0.000 0.000 0.000
2 Tm 0.500 0.500 0.340
3 Tm 0.500 0.500 0.660
4 N 0.000 0.000 0.500